Record 1
A relaxed AsPt2W crystal. Source: Alexandria via LeMat-Bulk, functional PBE. Values from VASP.

Structure (Quantum ESPRESSO input):
```
&SYSTEM
  ibrav = 0, nat = 4, ntyp = 3
/
ATOMIC_SPECIES
As 74.92 As.upf
Pt 195.08 Pt.upf
W 183.84 W.upf
CELL_PARAMETERS angstrom
1.4340 0.8279 9.0596
-1.4340 0.8279 9.0596
0.0000 -1.6559 9.0596
ATOMIC_POSITIONS angstrom
As 0.0000 0.0000 0.0000
Pt 0.0000 0.0000 6.7654
Pt 0.0000 0.0000 20.4134
W 0.0000 0.0000 13.5894
```

- spin magnetization (μB/atom) = 0.000
- symmetry = R-3m (166)
- V (Å³ per cell) = 64.5
- energy of formation (kJ per mole of atoms) = -0.2

---

Record 2
A relaxed AsPt2W crystal. Source: Alexandria via LeMat-Bulk, functional PBE. Values from VASP.

Structure (Quantum ESPRESSO input):
```
&SYSTEM
  ibrav = 0, nat = 4, ntyp = 3
/
ATOMIC_SPECIES
As 74.92 As.upf
Pt 195.08 Pt.upf
W 183.84 W.upf
CELL_PARAMETERS angstrom
2.7828 0.0000 0.0000
0.0000 4.4255 0.0000
-0.0028 0.0000 5.2775
ATOMIC_POSITIONS angstrom
As 0.0000 0.0000 0.0000
Pt 0.0166 2.2128 1.1463
Pt 0.0198 0.0000 2.8064
W 1.4107 2.2128 3.7372
```

- spin magnetization (μB/atom) = 0.000
- symmetry = Pm (6)
- V (Å³ per cell) = 65.0
- energy of formation (kJ per mole of atoms) = -0.2

---

Record 3
A relaxed Y2AsPt crystal. Source: Alexandria via LeMat-Bulk, functional PBE. Values from VASP.

Structure (Quantum ESPRESSO input):
```
&SYSTEM
  ibrav = 0, nat = 4, ntyp = 3
/
ATOMIC_SPECIES
Y 88.91 Y.upf
As 74.92 As.upf
Pt 195.08 Pt.upf
CELL_PARAMETERS angstrom
-2.0349 2.0349 5.3759
2.0349 -2.0349 5.3759
2.0349 2.0349 -5.3759
ATOMIC_POSITIONS angstrom
Y 0.0000 0.0000 0.0000
Y 0.0000 2.0349 2.6879
As 2.0349 0.0000 2.6879
Pt 0.0000 0.0000 5.3759
```

- spin magnetization (μB/atom) = 0.000
- polymorph energy (0 for the lowest one) (meV per atom) = 260
- symmetry = I-4m2 (119)
- V (Å³ per cell) = 89.0
- energy of formation (kJ per mole of atoms) = -101.4

---

Record 4
A relaxed YAsPt3 crystal. Source: Alexandria via LeMat-Bulk, functional PBE. Values from VASP.

Structure (Quantum ESPRESSO input):
```
&SYSTEM
  ibrav = 0, nat = 5, ntyp = 3
/
ATOMIC_SPECIES
Y 88.91 Y.upf
As 74.92 As.upf
Pt 195.08 Pt.upf
CELL_PARAMETERS angstrom
5.0725 0.0000 0.0000
0.0000 5.0725 0.0000
0.0000 0.0000 5.0725
ATOMIC_POSITIONS angstrom
Y 0.0000 0.0000 0.0000
As 2.5363 2.5363 2.5363
Pt 0.0000 0.0000 2.5363
Pt 0.0000 2.5363 0.0000
Pt 2.5363 0.0000 0.0000
```

- spin magnetization (μB/atom) = 0.000
- polymorph energy (0 for the lowest one) (meV per atom) = 1442
- symmetry = Pm-3m (221)
- V (Å³ per cell) = 130.5
- energy of formation (kJ per mole of atoms) = 100.4

---

Record 5
A relaxed Y2AsPt crystal. Source: Alexandria via LeMat-Bulk, functional PBE. Values from VASP.

Structure (Quantum ESPRESSO input):
```
&SYSTEM
  ibrav = 0, nat = 4, ntyp = 3
/
ATOMIC_SPECIES
Y 88.91 Y.upf
As 74.92 As.upf
Pt 195.08 Pt.upf
CELL_PARAMETERS angstrom
2.0499 1.1835 6.7755
-2.0499 1.1835 6.7755
0.0000 -2.3671 6.7755
ATOMIC_POSITIONS angstrom
Y 0.0000 0.0000 5.0695
Y 0.0000 0.0000 15.2571
As 0.0000 0.0000 0.0000
Pt 0.0000 0.0000 10.1633
```

- spin magnetization (μB/atom) = 0.000
- polymorph energy (0 for the lowest one) (meV per atom) = 83
- symmetry = R-3m (166)
- V (Å³ per cell) = 98.6
- energy of formation (kJ per mole of atoms) = -118.5

---

Record 6
A relaxed YAsPt4 crystal. Source: Alexandria via LeMat-Bulk, functional PBE. Values from VASP.

Structure (Quantum ESPRESSO input):
```
&SYSTEM
  ibrav = 0, nat = 6, ntyp = 3
/
ATOMIC_SPECIES
Y 88.91 Y.upf
As 74.92 As.upf
Pt 195.08 Pt.upf
CELL_PARAMETERS angstrom
0.0000 3.8017 3.8017
3.8017 0.0000 3.8017
3.8017 3.8017 0.0000
ATOMIC_POSITIONS angstrom
Y 0.0000 0.0000 0.0000
As 5.7026 5.7026 5.7026
Pt 2.8521 2.8521 2.8521
Pt 4.7514 4.7514 2.8521
Pt 4.7514 2.8521 4.7514
Pt 2.8521 4.7514 4.7514
```

- spin magnetization (μB/atom) = 0.000
- symmetry = F-43m (216)
- V (Å³ per cell) = 109.9
- energy of formation (kJ per mole of atoms) = -53.9

---

Record 7
A relaxed Y2AsPt crystal. Source: Alexandria via LeMat-Bulk, functional PBE. Values from VASP.

Structure (Quantum ESPRESSO input):
```
&SYSTEM
  ibrav = 0, nat = 8, ntyp = 3
/
ATOMIC_SPECIES
Y 88.91 Y.upf
As 74.92 As.upf
Pt 195.08 Pt.upf
CELL_PARAMETERS angstrom
-3.2226 3.2226 6.3625
3.2226 -3.2226 6.3625
3.2226 3.2226 -6.3625
ATOMIC_POSITIONS angstrom
Y 4.8338 1.6017 -1.5906
Y 1.6017 1.6113 1.5906
Y -1.6113 1.6209 4.7719
Y 1.6209 1.6113 7.9531
As 3.2226 0.0000 3.1812
As 0.0000 0.0000 6.3625
Pt 0.0000 0.0000 0.0000
Pt 0.0000 3.2226 3.1812
```

- spin magnetization (μB/atom) = 0.000
- polymorph energy (0 for the lowest one) (meV per atom) = 610
- symmetry = I-42d (122)
- V (Å³ per cell) = 264.3
- energy of formation (kJ per mole of atoms) = -67.7

---

Record 8
A relaxed YAsPt2 crystal. Source: Alexandria via LeMat-Bulk, functional PBE. Values from VASP.

Structure (Quantum ESPRESSO input):
```
&SYSTEM
  ibrav = 0, nat = 4, ntyp = 3
/
ATOMIC_SPECIES
Y 88.91 Y.upf
As 74.92 As.upf
Pt 195.08 Pt.upf
CELL_PARAMETERS angstrom
4.1510 0.0000 0.0000
0.0000 4.1510 0.0000
0.0000 0.0000 4.2918
ATOMIC_POSITIONS angstrom
Y 0.0000 0.0000 0.0000
As 2.0755 2.0755 0.0000
Pt 0.0000 2.0755 2.1459
Pt 2.0755 0.0000 2.1459
```

- spin magnetization (μB/atom) = 0.000
- symmetry = P4/mmm (123)
- V (Å³ per cell) = 73.9
- energy of formation (kJ per mole of atoms) = -73.8

---

Record 9
A relaxed Y2As2Pt crystal. Source: Alexandria via LeMat-Bulk, functional PBE. Values from VASP.

Structure (Quantum ESPRESSO input):
```
&SYSTEM
  ibrav = 0, nat = 10, ntyp = 3
/
ATOMIC_SPECIES
Y 88.91 Y.upf
As 74.92 As.upf
Pt 195.08 Pt.upf
CELL_PARAMETERS angstrom
7.1912 0.0000 0.0000
0.0000 7.1912 0.0000
0.0000 0.0000 4.0766
ATOMIC_POSITIONS angstrom
Y 1.1768 2.4188 0.0000
Y 2.4188 6.0144 0.0000
Y 4.7724 1.1768 0.0000
Y 6.0144 4.7724 0.0000
As 1.0627 4.6584 2.0383
As 2.5329 1.0627 2.0383
As 4.6584 6.1285 2.0383
As 6.1285 2.5329 2.0383
Pt 0.0000 0.0000 2.0383
Pt 3.5956 3.5956 2.0383
```

- spin magnetization (μB/atom) = 0.000
- symmetry = P4/mbm (127)
- V (Å³ per cell) = 210.8
- energy of formation (kJ per mole of atoms) = -101.7

---

Record 10
A relaxed YAsPt2 crystal. Source: Alexandria via LeMat-Bulk, functional PBE. Values from VASP.

Structure (Quantum ESPRESSO input):
```
&SYSTEM
  ibrav = 0, nat = 4, ntyp = 3
/
ATOMIC_SPECIES
Y 88.91 Y.upf
As 74.92 As.upf
Pt 195.08 Pt.upf
CELL_PARAMETERS angstrom
3.8742 0.0000 0.0000
0.0000 4.4804 0.0000
-0.2113 0.0000 4.8338
ATOMIC_POSITIONS angstrom
Y 0.0000 0.0000 0.0000
As 2.3638 2.2402 1.5389
Pt 1.5566 2.2402 4.0084
Pt 1.8101 0.0000 2.4309
```

- spin magnetization (μB/atom) = 0.000
- symmetry = Pm (6)
- V (Å³ per cell) = 83.9
- energy of formation (kJ per mole of atoms) = -80.0

---

Record 11
A relaxed YAsPt2 crystal. Source: Alexandria via LeMat-Bulk, functional PBE. Values from VASP.

Structure (Quantum ESPRESSO input):
```
&SYSTEM
  ibrav = 0, nat = 4, ntyp = 3
/
ATOMIC_SPECIES
Y 88.91 Y.upf
As 74.92 As.upf
Pt 195.08 Pt.upf
CELL_PARAMETERS angstrom
3.5803 0.0000 0.0000
0.0000 3.5803 0.0000
0.0000 0.0000 6.1763
ATOMIC_POSITIONS angstrom
Y 0.0000 0.0000 0.0000
As 1.7902 1.7902 2.2717
Pt 0.0000 0.0000 3.0433
Pt 1.7902 1.7902 4.7883
```

- spin magnetization (μB/atom) = 0.000
- symmetry = P4mm (99)
- V (Å³ per cell) = 79.2
- energy of formation (kJ per mole of atoms) = -68.0

---

Record 12
A relaxed YAsPt2 crystal. Source: Alexandria via LeMat-Bulk, functional PBE. Values from VASP.

Structure (Quantum ESPRESSO input):
```
&SYSTEM
  ibrav = 0, nat = 4, ntyp = 3
/
ATOMIC_SPECIES
Y 88.91 Y.upf
As 74.92 As.upf
Pt 195.08 Pt.upf
CELL_PARAMETERS angstrom
-2.0854 2.0854 4.2876
2.0854 -2.0854 4.2876
2.0854 2.0854 -4.2876
ATOMIC_POSITIONS angstrom
Y 0.0000 0.0000 0.0000
As 2.0854 0.0000 2.1438
Pt 0.0000 0.0000 4.2876
Pt 0.0000 2.0854 2.1438
```

- spin magnetization (μB/atom) = 0.000
- symmetry = I-4m2 (119)
- V (Å³ per cell) = 74.6
- energy of formation (kJ per mole of atoms) = -69.7

---

Record 13
A relaxed YAsPt2 crystal. Source: Alexandria via LeMat-Bulk, functional PBE. Values from VASP.

Structure (Quantum ESPRESSO input):
```
&SYSTEM
  ibrav = 0, nat = 4, ntyp = 3
/
ATOMIC_SPECIES
Y 88.91 Y.upf
As 74.92 As.upf
Pt 195.08 Pt.upf
CELL_PARAMETERS angstrom
0.0000 3.3473 3.3473
3.3473 0.0000 3.3473
3.3473 3.3473 0.0000
ATOMIC_POSITIONS angstrom
Y 0.0000 0.0000 0.0000
As 5.0209 5.0209 5.0209
Pt 1.6736 1.6736 1.6736
Pt 3.3473 3.3473 3.3473
```

- spin magnetization (μB/atom) = 0.000
- symmetry = F-43m (216)
- V (Å³ per cell) = 75.0
- energy of formation (kJ per mole of atoms) = -59.6

---

Record 14
A relaxed Y2AsPt crystal. Source: Alexandria via LeMat-Bulk, functional PBE. Values from VASP.

Structure (Quantum ESPRESSO input):
```
&SYSTEM
  ibrav = 0, nat = 4, ntyp = 3
/
ATOMIC_SPECIES
Y 88.91 Y.upf
As 74.92 As.upf
Pt 195.08 Pt.upf
CELL_PARAMETERS angstrom
4.1209 0.0000 0.0000
0.0000 4.1209 0.0000
0.0000 0.0000 5.8137
ATOMIC_POSITIONS angstrom
Y 0.0000 0.0000 0.0000
Y 2.0605 2.0605 2.9068
As 0.0000 0.0000 2.9068
Pt 2.0605 2.0605 0.0000
```

- spin magnetization (μB/atom) = 0.000
- polymorph energy (0 for the lowest one) (meV per atom) = 100
- symmetry = P4/mmm (123)
- V (Å³ per cell) = 98.7
- energy of formation (kJ per mole of atoms) = -116.8

---

Record 15
A relaxed Y2AsPt crystal. Source: Alexandria via LeMat-Bulk, functional PBE. Values from VASP.

Structure (Quantum ESPRESSO input):
```
&SYSTEM
  ibrav = 0, nat = 4, ntyp = 3
/
ATOMIC_SPECIES
Y 88.91 Y.upf
As 74.92 As.upf
Pt 195.08 Pt.upf
CELL_PARAMETERS angstrom
0.0000 3.5447 3.5447
3.5447 0.0000 3.5447
3.5447 3.5447 0.0000
ATOMIC_POSITIONS angstrom
Y 1.7723 1.7723 1.7723
Y 5.3170 5.3170 5.3170
As 0.0000 0.0000 0.0000
Pt 3.5447 3.5447 3.5447
```

- spin magnetization (μB/atom) = 0.000
- polymorph energy (0 for the lowest one) (meV per atom) = 263
- symmetry = Fm-3m (225)
- V (Å³ per cell) = 89.1
- energy of formation (kJ per mole of atoms) = -101.2

---

Record 16
A relaxed Y2AsPt crystal. Source: Alexandria via LeMat-Bulk, functional PBE. Values from VASP.

Structure (Quantum ESPRESSO input):
```
&SYSTEM
  ibrav = 0, nat = 4, ntyp = 3
/
ATOMIC_SPECIES
Y 88.91 Y.upf
As 74.92 As.upf
Pt 195.08 Pt.upf
CELL_PARAMETERS angstrom
4.2703 0.0000 0.0000
0.0000 1.9775 5.4017
0.0000 -1.9775 5.4017
ATOMIC_POSITIONS angstrom
Y 0.0000 0.0000 0.0000
Y 2.1351 0.0000 2.9987
As 2.1351 0.0000 5.9920
Pt 0.0000 0.0000 7.9114
```

- spin magnetization (μB/atom) = 0.000
- polymorph energy (0 for the lowest one) (meV per atom) = 0
- symmetry = Amm2 (38)
- V (Å³ per cell) = 91.2
- energy of formation (kJ per mole of atoms) = -126.5

---

Record 17
A relaxed YAs2Pt2 crystal. Source: Alexandria via LeMat-Bulk, functional PBE. Values from VASP.

Structure (Quantum ESPRESSO input):
```
&SYSTEM
  ibrav = 0, nat = 10, ntyp = 3
/
ATOMIC_SPECIES
Y 88.91 Y.upf
As 74.92 As.upf
Pt 195.08 Pt.upf
CELL_PARAMETERS angstrom
7.4111 0.0000 0.0000
0.0000 7.4111 0.0000
0.0000 0.0000 3.5761
ATOMIC_POSITIONS angstrom
Y 0.0000 0.0000 0.0000
Y 3.7055 3.7055 0.0000
As 1.4816 2.2239 1.7881
As 2.2239 5.9294 1.7881
As 5.1872 1.4816 1.7881
As 5.9294 5.1872 1.7881
Pt 0.9367 4.6422 0.0000
Pt 2.7689 0.9367 0.0000
Pt 4.6422 6.4744 0.0000
Pt 6.4744 2.7689 0.0000
```

- spin magnetization (μB/atom) = 0.000
- symmetry = P4/mbm (127)
- V (Å³ per cell) = 196.4
- energy of formation (kJ per mole of atoms) = -50.6

---

Record 18
A relaxed YAsPt2 crystal. Source: Alexandria via LeMat-Bulk, functional PBE. Values from VASP.

Structure (Quantum ESPRESSO input):
```
&SYSTEM
  ibrav = 0, nat = 4, ntyp = 3
/
ATOMIC_SPECIES
Y 88.91 Y.upf
As 74.92 As.upf
Pt 195.08 Pt.upf
CELL_PARAMETERS angstrom
3.6291 0.0000 0.0000
0.0000 4.1632 0.0000
0.0000 0.0000 5.4502
ATOMIC_POSITIONS angstrom
Y 0.0000 0.0000 0.0000
As 1.8145 0.0000 2.7251
Pt 1.8145 2.0816 1.3315
Pt 1.8145 2.0816 4.1187
```

- spin magnetization (μB/atom) = 0.000
- symmetry = Pmmm (47)
- V (Å³ per cell) = 82.3
- energy of formation (kJ per mole of atoms) = -83.3

---

Record 19
A relaxed YAsPt2 crystal. Source: Alexandria via LeMat-Bulk, functional PBE. Values from VASP.

Structure (Quantum ESPRESSO input):
```
&SYSTEM
  ibrav = 0, nat = 4, ntyp = 3
/
ATOMIC_SPECIES
Y 88.91 Y.upf
As 74.92 As.upf
Pt 195.08 Pt.upf
CELL_PARAMETERS angstrom
-2.0358 2.0358 4.4496
2.0358 -2.0358 4.4496
2.0358 2.0358 -4.4496
ATOMIC_POSITIONS angstrom
Y 0.0000 0.0000 0.0000
As 0.0000 0.0000 4.4496
Pt 2.0358 0.0000 2.2248
Pt 0.0000 2.0358 2.2248
```

- spin magnetization (μB/atom) = 0.000
- symmetry = I4/mmm (139)
- V (Å³ per cell) = 73.8
- energy of formation (kJ per mole of atoms) = -75.9

---

Record 20
A relaxed Y2AsPt crystal. Source: Alexandria via LeMat-Bulk, functional PBE. Values from VASP.

Structure (Quantum ESPRESSO input):
```
&SYSTEM
  ibrav = 0, nat = 4, ntyp = 3
/
ATOMIC_SPECIES
Y 88.91 Y.upf
As 74.92 As.upf
Pt 195.08 Pt.upf
CELL_PARAMETERS angstrom
3.5684 0.0000 0.0000
0.0000 3.5680 0.0000
-0.0592 0.0000 6.9632
ATOMIC_POSITIONS angstrom
Y 0.0015 0.0000 1.7462
Y 3.5077 0.0000 5.2170
As 1.7546 1.7840 3.4816
Pt 1.7842 1.7840 0.0000
```

- spin magnetization (μB/atom) = 0.000
- polymorph energy (0 for the lowest one) (meV per atom) = 174
- symmetry = P2/m (10)
- V (Å³ per cell) = 88.7
- energy of formation (kJ per mole of atoms) = -109.8